This record from Alexandria via LeMat-Bulk describes a geometry-optimized Er6TeAs2Pb3 structure. The functional is PBE-GGA.

Cell and atoms, written as POSCAR:
```
Er6TeAs2Pb3
1.0
9.634 -2.059 0.000
9.634 2.059 0.000
-3.059 0.000 8.392
Er Te As Pb
6 1 2 3
Cartesian
-0.559 0.000 2.127
4.915 0.000 3.690
3.653 0.000 7.515
12.555 0.000 0.878
11.293 0.000 4.702
16.767 0.000 6.265
9.634 0.000 0.000
2.216 0.000 2.772
13.992 0.000 5.621
0.588 0.000 6.918
8.104 0.000 4.196
15.620 0.000 1.474
```

crystal system = monoclinic
D(E_F) = 4.51 states/eV/cell
E_form (uncorrected) = -911 meV/atom
symmetry = C2/m, No. 12

This record from Alexandria via LeMat-Bulk describes a geometry-optimized LaNdOsPd structure. The functional is PBE-GGA.

Cell and atoms, written as POSCAR:
```
LaNdOsPd
1.0
0.000 3.590 3.590
3.590 0.000 3.590
3.590 3.590 0.000
La Nd Os Pd
1 1 1 1
Cartesian
0.000 0.000 0.000
3.590 3.590 3.590
1.795 1.795 1.795
5.385 5.385 5.385
```

crystal system = cubic
D(E_F) = 3.80 states/eV/cell
symmetry = F-43m, No. 216
formation energy = -0.323 eV per atom

This record from Alexandria via LeMat-Bulk describes a geometry-optimized SnTeI2 structure. The functional is PBE-GGA.

Cell and atoms, written as POSCAR:
```
SnTeI2
1.0
0.000 4.022 4.022
4.022 0.000 4.022
4.022 4.022 0.000
Sn Te I
1 1 2
Cartesian
0.000 0.000 0.000
4.022 4.022 4.022
2.011 2.011 2.011
6.033 6.033 6.033
```

crystal system = cubic
excess energy over the best structure of this formula in the dataset = 362 meV/atom
D(E_F) = 5.47 states/eV/cell
E_form (uncorrected) = 216 meV/atom
symmetry = Fm-3m, No. 225

This record from Alexandria via LeMat-Bulk describes a geometry-optimized Tm2Zn3Cu12Si structure. The functional is PBE-GGA.

Cell and atoms, written as POSCAR:
```
Tm2Zn3Cu12Si
1.0
3.067 1.771 8.751
-3.067 1.771 8.751
0.000 -3.542 8.751
Tm Zn Cu Si
2 3 12 1
Cartesian
0.000 0.000 3.874
0.000 0.000 22.378
-1.534 -0.885 8.751
-1.534 0.885 17.501
0.000 1.771 8.751
0.000 -2.163 7.434
-1.873 1.082 7.434
-1.388 -0.802 11.400
-1.873 -1.082 18.818
0.000 -1.603 14.852
-1.388 0.802 14.852
1.388 -0.802 11.399
0.000 1.603 11.399
1.873 1.082 7.434
1.388 0.802 14.852
1.873 -1.082 18.818
0.000 2.163 18.818
0.000 0.000 13.126
```

crystal system = trigonal
D(E_F) = 8.49 states/eV/cell
E_form (uncorrected) = 84 meV/atom
symmetry = R-3m, No. 166

This record from Alexandria via LeMat-Bulk describes a geometry-optimized Ti2Te2Ir structure. The functional is PBE-GGA.

Cell and atoms, written as POSCAR:
```
Ti2Te2Ir
1.0
-2.642 2.642 4.096
2.642 -2.642 4.096
2.642 2.642 -4.096
Ti Te Ir
2 2 1
Cartesian
2.642 0.000 2.048
0.000 2.642 2.048
0.000 0.000 1.517
0.000 0.000 6.675
0.000 0.000 4.096
```

crystal system = tetragonal
excess energy over the best structure of this formula in the dataset = 272 meV/atom
D(E_F) = 4.15 states/eV/cell
E_form (uncorrected) = 187 meV/atom
symmetry = I4/mmm, No. 139

This record from Alexandria via LeMat-Bulk describes a geometry-optimized In5W structure. The functional is PBE-GGA.

Cell and atoms, written as POSCAR:
```
In5W
1.0
5.347 -1.499 0.000
5.347 1.499 0.000
-2.471 0.000 9.322
In W
5 1
Cartesian
0.000 0.000 0.000
-0.176 0.000 3.933
2.779 0.000 1.454
2.764 0.000 6.257
5.483 0.000 7.693
7.672 0.000 3.853
```

crystal system = monoclinic
D(E_F) = 2.42 states/eV/cell
symmetry = Cm, No. 8
formation energy = 0.366 eV per atom

This record from Alexandria via LeMat-Bulk describes a geometry-optimized Ho5ErMg structure. The functional is PBE-GGA.

Cell and atoms, written as POSCAR:
```
Ho5ErMg
1.0
-3.142 3.212 5.404
3.142 -3.212 5.404
3.142 3.212 -5.404
Ho Er Mg
5 1 1
Cartesian
0.000 0.000 0.000
1.515 3.212 -0.326
1.627 0.000 5.078
0.000 1.692 2.712
0.000 4.732 2.712
3.142 0.000 1.424
0.000 0.000 7.835
```

crystal system = orthorhombic
D(E_F) = 10.22 states/eV/cell
symmetry = Imm2, No. 44
formation energy = 0.238 eV per atom

This record from Alexandria via LeMat-Bulk describes a geometry-optimized Ba2CeThSe6 structure. The functional is PBE-GGA.

Cell and atoms, written as POSCAR:
```
Ba2CeThSe6
1.0
7.568 0.000 0.000
0.000 8.029 0.000
-7.534 0.000 10.993
Ba Ce Th Se
4 2 2 12
Cartesian
-0.179 0.602 2.744
-3.946 3.412 8.241
3.980 4.617 2.752
0.213 7.427 8.249
-3.767 0.000 5.497
0.000 4.015 0.000
3.784 0.000 0.000
0.017 4.015 5.497
-6.078 1.610 10.408
-2.312 2.405 4.912
-5.243 5.601 10.409
-1.476 6.443 4.913
-2.995 0.218 8.220
0.772 3.797 2.723
-0.738 4.232 8.270
3.029 7.812 2.773
1.511 1.586 6.080
5.277 2.429 0.584
2.346 5.625 6.081
6.113 6.420 0.585
```

crystal system = monoclinic
E_form (uncorrected) = -1850 meV/atom
symmetry = P2_1/c, No. 14

This record from Alexandria via LeMat-Bulk describes a geometry-optimized RbTl2Cu2Cl7 structure. The functional is PBE-GGA.

Cell and atoms, written as POSCAR:
```
RbTl2Cu2Cl7
1.0
3.493 -3.493 0.000
3.493 3.493 0.000
-3.429 0.000 12.649
Rb Tl Cu Cl
1 2 2 7
Cartesian
0.000 0.000 0.000
0.001 0.000 4.589
3.556 0.000 8.060
0.069 0.000 10.218
3.488 0.000 2.431
1.742 1.747 2.392
0.072 0.000 7.855
1.816 1.747 10.257
3.493 0.000 0.000
1.742 -1.747 2.392
3.486 0.000 4.794
1.816 -1.747 10.257
```

crystal system = monoclinic
D(E_F) = 3.54 states/eV/cell
E_form (uncorrected) = -916 meV/atom
symmetry = C2/m, No. 12

This record from Alexandria via LeMat-Bulk describes a geometry-optimized Ta3NbPt structure. The functional is PBE-GGA.

Cell and atoms, written as POSCAR:
```
Ta3NbPt
1.0
4.849 0.000 0.000
0.000 4.849 0.000
0.000 0.000 4.849
Ta Nb Pt
3 1 1
Cartesian
0.000 0.000 2.425
0.000 2.425 0.000
2.425 0.000 0.000
2.425 2.425 2.425
0.000 0.000 0.000
```

crystal system = cubic
excess energy over the best structure of this formula in the dataset = 1576 meV/atom
D(E_F) = 6.46 states/eV/cell
symmetry = Pm-3m, No. 221
formation energy = 1.278 eV per atom

Calculated total energy values, unit eV/atom, following the record order: -5.1560, -6.8524, -2.3451, -3.6571, -5.9995, -4.0751, -3.9116, -5.6604, -3.1508, -9.0558.
Calculated density values, unit g/cm3, following the record order: 9.489, 10.403, 6.383, 7.714, 7.887, 8.424, 7.734, 5.571, 4.678, 12.099.